No. 1
Compound: LaEuMgHg
Source: Alexandria
Functional: PBE
Structure: relaxed

The structure in POSCAR format:
```
LaEuMgHg
1.0
-5.257 0.343 1.786
-4.158 -1.794 -3.231
-2.783 -4.621 1.359
Mg Hg Eu La
1 1 1 1
Direct
0.000 0.000 0.000
0.500 0.500 0.500
0.250 0.250 0.250
0.750 0.750 0.750
```

Properties
ρ = 7036 kg/m³
ΔE_f = -291 meV/atom
Total energy = -4.565 eV per atom



No. 2
Compound: LaEuNiHg
Source: Alexandria
Functional: PBE
Structure: relaxed

The structure in POSCAR format:
```
LaEuNiHg
1.0
5.284 0.000 0.000
2.642 4.576 0.000
2.642 1.525 4.315
Hg La Eu Ni
1 1 1 1
Direct
0.000 0.000 0.000
0.250 0.250 0.250
0.750 0.750 0.750
0.500 0.500 0.500
```

Properties
ρ = 8756 kg/m³
ΔE_f = -266 meV/atom
Total energy = -5.587 eV per atom



No. 3
Compound: LaEuHgPd
Source: Alexandria
Functional: PBE
Structure: relaxed

The structure in POSCAR format:
```
LaEuHgPd
1.0
5.341 0.000 0.000
2.671 4.626 0.000
2.671 1.542 4.361
Hg Eu Pd La
1 1 1 1
Direct
0.500 0.500 0.500
0.250 0.250 0.250
0.000 0.000 0.000
0.750 0.750 0.750
```

Properties
ρ = 9213 kg/m³
ΔE_f = -587 meV/atom
Total energy = -5.761 eV per atom



No. 4
Compound: LaPmEuHg
Source: Alexandria
Functional: PBE
Structure: relaxed

The structure in POSCAR format:
```
LaPmEuHg
1.0
-1.409 -0.380 -5.439
0.492 -4.918 -2.699
-4.612 -2.850 -1.522
La Hg Pm Eu
1 1 1 1
Direct
0.250 0.250 0.250
0.500 0.500 0.500
0.000 0.000 0.000
0.750 0.750 0.750
```

Properties
ρ = 8369 kg/m³
ΔE_f = -41 meV/atom
Total energy = -5.105 eV per atom



No. 5
Compound: LaEuHgRh
Source: Alexandria
Functional: PBE
Structure: relaxed

The structure in POSCAR format:
```
LaEuHgRh
1.0
5.262 0.000 0.000
2.631 4.557 0.000
2.631 1.519 4.296
Eu Rh Hg La
1 1 1 1
Direct
0.250 0.250 0.250
0.500 0.500 0.500
0.000 0.000 0.000
0.750 0.750 0.750
```

Properties
ρ = 9581 kg/m³
ΔE_f = -476 meV/atom
Total energy = -6.190 eV per atom



No. 6
Compound: LaSmEuHg
Source: Alexandria
Functional: PBE
Structure: relaxed

The structure in POSCAR format:
```
LaSmEuHg
1.0
-3.450 0.079 4.422
-2.815 -4.631 1.443
1.373 -2.773 4.678
La Hg Eu Sm
1 1 1 1
Direct
0.250 0.250 0.250
0.000 0.000 0.000
0.500 0.500 0.500
0.750 0.750 0.750
```

Properties
ρ = 8542 kg/m³
ΔE_f = -91 meV/atom
Total energy = -5.147 eV per atom



No. 7
Compound: LaEuSnHg
Source: Alexandria
Functional: PBE
Structure: relaxed

The structure in POSCAR format:
```
LaEuSnHg
1.0
5.552 0.000 0.000
2.776 4.808 0.000
2.776 1.603 4.533
Hg La Eu Sn
1 1 1 1
Direct
0.750 0.750 0.750
0.000 0.000 0.000
0.500 0.500 0.500
0.250 0.250 0.250
```

Properties
ρ = 8375 kg/m³
ΔE_f = -644 meV/atom
Total energy = -5.520 eV per atom



No. 8
Compound: LaTbEuHg
Source: Alexandria
Functional: PBE
Structure: relaxed

The structure in POSCAR format:
```
LaTbEuHg
1.0
5.578 0.000 0.000
2.789 4.831 0.000
2.789 1.610 4.554
Tb Eu La Hg
1 1 1 1
Direct
0.500 0.500 0.500
0.250 0.250 0.250
0.000 0.000 0.000
0.750 0.750 0.750
```

Properties
ρ = 8800 kg/m³
ΔE_f = -75 meV/atom
Total energy = -5.109 eV per atom



No. 9
Compound: LaEuTmHg
Source: Alexandria
Functional: PBE
Structure: relaxed

The structure in POSCAR format:
```
LaEuTmHg
1.0
5.544 0.000 0.000
2.772 4.801 0.000
2.772 1.600 4.527
La Eu Tm Hg
1 1 1 1
Direct
0.250 0.250 0.250
0.000 0.000 0.000
0.750 0.750 0.750
0.500 0.500 0.500
```

Properties
ρ = 9102 kg/m³
ΔE_f = -54 meV/atom
Total energy = -5.048 eV per atom



No. 10
Compound: LiEu2Hg
Source: Alexandria
Functional: PBE
Structure: relaxed

The structure in POSCAR format:
```
LiEu2Hg
1.0
5.536 0.000 0.000
2.768 4.794 0.000
2.768 1.598 4.520
Hg Eu Li
1 2 1
Direct
0.250 0.250 0.250
0.500 0.500 0.500
0.000 0.000 0.000
0.750 0.750 0.750
```

Properties
ρ = 7079 kg/m³
ΔE_f = -261 meV/atom
Total energy = -5.952 eV per atom



No. 11
Compound: LiEuHg3
Source: Alexandria
Functional: PBE
Structure: relaxed

The structure in POSCAR format:
```
LiEuHg3
1.0
5.023 0.000 0.000
0.000 5.023 0.000
0.000 0.000 5.023
Hg Li Eu
3 1 1
Direct
0.500 0.000 0.000
0.000 0.000 0.500
0.000 0.500 0.000
0.000 0.000 0.000
0.500 0.500 0.500
```

Properties
ρ = 9967 kg/m³
ΔE_f = -302 meV/atom
Total energy = -2.920 eV per atom



No. 12
Compound: LiEu2Hg4
Source: Alexandria
Functional: PBE
Structure: relaxed

The structure in POSCAR format:
```
LiEu2Hg4
1.0
4.955 0.000 0.000
0.000 4.955 0.000
2.477 2.477 8.220
Hg Eu Li
4 2 1
Direct
0.833 0.833 0.333
0.000 0.500 0.000
0.167 0.167 0.667
0.500 0.000 0.000
0.363 0.363 0.275
0.637 0.637 0.725
0.000 0.000 0.000
```

Properties
ρ = 9160 kg/m³
ΔE_f = -328 meV/atom
Total energy = -3.709 eV per atom



No. 13
Compound: LiEuHg
Source: Alexandria
Functional: PBE
Structure: relaxed

The structure in POSCAR format:
```
LiEuHg
1.0
-5.081 -0.137 0.728
-2.127 -3.933 2.524
-1.940 0.714 4.700
Hg Li Eu
1 1 1
Direct
0.250 0.250 0.250
0.500 0.500 0.500
0.000 0.000 0.000
```

Properties
ΔE to the lowest computed polymorph = 138.9 meV per atom
ρ = 6237 kg/m³
ΔE_f = -203 meV/atom
Total energy = -4.366 eV per atom



No. 14
Compound: Li2EuHg
Source: Alexandria
Functional: PBE
Structure: relaxed

The structure in POSCAR format:
```
Li2EuHg
1.0
-2.453 -2.260 3.791
-3.845 -3.120 -0.986
0.525 -4.967 0.742
Hg Li Eu
1 2 1
Direct
0.500 0.500 0.500
0.750 0.750 0.750
0.250 0.250 0.250
0.000 0.000 0.000
```

Properties
ΔE to the lowest computed polymorph = 0.0 meV per atom
ρ = 6685 kg/m³
ΔE_f = -183 meV/atom
Total energy = -3.784 eV per atom



No. 15
Compound: LiEuHg
Source: Alexandria
Functional: PBE
Structure: relaxed

The structure in POSCAR format:
```
LiEuHg
1.0
-1.446 2.267 -2.984
-4.212 -2.342 0.261
0.727 3.962 2.658
Hg Li Eu
1 1 1
Direct
0.167 0.333 0.667
0.167 0.000 0.000
0.667 0.667 0.333
```

Properties
ΔE to the lowest computed polymorph = 0.0 meV per atom
ρ = 7366 kg/m³
ΔE_f = -342 meV/atom
Total energy = -4.505 eV per atom



No. 16
Compound: LiEuHg2
Source: Alexandria
Functional: PBE
Structure: relaxed

The structure in POSCAR format:
```
LiEuHg2
1.0
-2.666 -2.434 -0.319
0.475 -0.049 -3.593
4.918 -5.481 0.725
Li Eu Hg
1 1 2
Direct
0.500 0.500 0.000
0.500 0.500 0.500
0.000 0.000 0.209
0.000 0.000 0.791
```

Properties
ρ = 9567 kg/m³
ΔE_f = -420 meV/atom
Total energy = -3.618 eV per atom



No. 17
Compound: LiEu2Hg
Source: Alexandria
Functional: PBE
Structure: relaxed

The structure in POSCAR format:
```
LiEu2Hg
1.0
-2.189 -0.362 3.294
3.307 -0.476 2.146
0.393 7.732 1.110
Li Eu Hg
1 2 1
Direct
0.500 0.500 0.500
0.000 0.000 0.765
0.000 0.000 0.235
0.500 0.500 0.000
```

Properties
ρ = 6886 kg/m³
ΔE_f = -275 meV/atom
Total energy = -5.966 eV per atom



No. 18
Compound: LiEuHg
Source: Alexandria
Functional: PBE
Structure: relaxed

The structure in POSCAR format:
```
LiEuHg
1.0
3.803 0.000 0.000
0.000 3.803 0.000
-1.901 -1.901 5.387
Hg Li Eu
1 1 1
Direct
0.260 0.260 0.519
0.647 0.647 0.295
0.943 0.943 0.886
```

Properties
ΔE to the lowest computed polymorph = 15.1 meV per atom
ρ = 7664 kg/m³
ΔE_f = -327 meV/atom
Total energy = -4.490 eV per atom



No. 19
Compound: Li2EuHg
Source: Alexandria
Functional: PBE
Structure: relaxed

The structure in POSCAR format:
```
Li2EuHg
1.0
-2.985 1.967 -0.740
-1.063 -0.304 3.479
3.612 6.098 1.637
Hg Eu Li
1 1 2
Direct
0.500 0.500 0.000
0.500 0.500 0.500
0.000 0.000 0.818
0.000 0.000 0.182
```

Properties
ΔE to the lowest computed polymorph = 9.4 meV per atom
ρ = 6276 kg/m³
ΔE_f = -174 meV/atom
Total energy = -3.775 eV per atom



No. 20
Compound: LiEuHg2
Source: Alexandria
Functional: PBE
Structure: relaxed

The structure in POSCAR format:
```
LiEuHg2
1.0
-2.310 -2.757 -0.881
0.222 -1.781 4.993
-4.141 3.063 1.277
Hg Eu Li
2 1 1
Direct
0.000 0.500 0.000
0.000 0.000 0.500
0.500 0.500 0.500
0.500 0.000 0.000
```

Properties
ρ = 8920 kg/m³
ΔE_f = -359 meV/atom
Total energy = -3.557 eV per atom